(1)
First-principles (GGA-PBE) data for a geometry-optimized Hf4NiSbC2 structure, as listed in the Open Quantum Materials Database.

Properties
- VASP energy (eV for the cell shown) = -73.1

a = 3.3270 Å, b = 3.3270 Å, c = 13.4414 Å
α = 90.00°, β = 90.00°, γ = 120.00°
Last column: nearest neighbours and their distance in Å.
Space group P-6m2 (No. 187)
Inequivalent atoms, fractional coordinates:
Hf1 0.0000 0.0000 0.1391 (multiplicity 2)  3 C 2.34
Hf2 0.3333 0.6667 0.3278 (multiplicity 2)  3 C 2.27
Ni1 0.3333 0.6667 0.0000 (multiplicity 1)  6 Hf 2.68
Sb1 0.0000 0.0000 0.5000 (multiplicity 1)  6 Hf 3.01, 6 Sb 3.33
C1 0.6667 0.3333 0.2384 (multiplicity 2)  6 Hf 2.27-2.34

***

(2)
First-principles (GGA-PBE) data for a geometry-optimized Hf4SiNiC2 structure, as listed in the Open Quantum Materials Database.

Properties
- VASP energy (eV for the cell shown) = -74.7

a = 3.2685 Å, b = 3.2685 Å, c = 13.1824 Å
α = 90.00°, β = 90.00°, γ = 120.00°
Last column: nearest neighbours and their distance in Å.
Space group P-6m2 (No. 187)
Inequivalent atoms, fractional coordinates:
Hf1 0.0000 0.0000 0.1448 (multiplicity 2)  3 C 2.32
Hf2 0.6667 0.3333 0.3420 (multiplicity 2)  3 C 2.27
Si1 0.0000 0.0000 0.5000 (multiplicity 1)  6 Hf 2.81
Ni1 0.6667 0.3333 0.0000 (multiplicity 1)  6 Hf 2.68
C1 0.3333 0.6667 0.2466 (multiplicity 2)  6 Hf 2.27-2.32